# RbVP2O8 | Alexandria via LeMat-Bulk | GGA+U | relaxed
# Uncorrected energy   -337.95 eV per cell
# Fermi-level density of states   0.0 states/eV/f.u.
data_RbVP2O8
_space_group_name_H-M_alt 'P 1 21/c 1'
_space_group_IT_number 14
_space_group_name_Hall '-P 2ybc'
_cell_length_a 4.797
_cell_length_b 8.858
_cell_length_c 17.671
_cell_angle_alpha 90.00
_cell_angle_beta 97.55
_cell_angle_gamma 90.00
loop_
_atom_site_label
_atom_site_type_symbol
_atom_site_fract_x
_atom_site_fract_y
_atom_site_fract_z
_atom_site_occupancy
Rb1 Rb 0.189 0.194 0.434 1
V1 V 0.346 0.058 0.166 1
P1 P 0.138 0.119 0.744 1
P2 P 0.177 0.720 0.897 1
O1 O 0.020 0.589 0.841 1
O2 O 0.045 0.155 0.097 1
O3 O 0.065 0.577 0.698 1
O4 O 0.219 0.216 0.252 1
O5 O 0.271 0.644 0.971 1
O6 O 0.387 0.006 0.749 1
O7 O 0.414 0.723 0.353 1
O8 O 0.440 0.556 0.602 1

---

# Rb2VP2O8 | Alexandria via LeMat-Bulk | GGA+U | relaxed
# Uncorrected energy   -355.77 eV per cell
# Relative energy among the computed polymorphs   3 meV per atom
# Fermi-level density of states   0.0 states/eV/f.u.
data_Rb2VP2O8
_space_group_name_H-M_alt 'P n m a'
_space_group_IT_number 62
_space_group_name_Hall '-P 2ac 2n'
_cell_length_a 12.830
_cell_length_b 7.319
_cell_length_c 9.654
_cell_angle_alpha 90.00
_cell_angle_beta 90.00
_cell_angle_gamma 90.00
loop_
_atom_site_label
_atom_site_type_symbol
_atom_site_fract_x
_atom_site_fract_y
_atom_site_fract_z
_atom_site_occupancy
Rb1 Rb 0.092 0.250 0.134 1
Rb2 Rb 0.102 0.750 0.414 1
V1 V 0.213 0.750 0.970 1
P1 P 0.155 0.047 0.720 1
O1 O 0.043 0.511 0.707 1
O2 O 0.094 0.750 0.029 1
O3 O 0.163 0.250 0.791 1
O4 O 0.210 0.061 0.577 1
O5 O 0.225 0.566 0.817 1

---

# RbVPO2 | Alexandria via LeMat-Bulk | GGA+U | relaxed
# Uncorrected energy   -26.80 eV per cell
# Relative energy among the computed polymorphs   0 meV per atom
# Fermi-level density of states   1.9 states/eV/f.u.
data_RbVPO2
_space_group_name_H-M_alt 'P 4/m m m'
_space_group_IT_number 123
_space_group_name_Hall '-P 4 2'
_cell_length_a 4.031
_cell_length_b 4.031
_cell_length_c 4.807
_cell_angle_alpha 90.00
_cell_angle_beta 90.00
_cell_angle_gamma 90.00
loop_
_atom_site_label
_atom_site_type_symbol
_atom_site_fract_x
_atom_site_fract_y
_atom_site_fract_z
_atom_site_occupancy
Rb1 Rb 0.000 0.000 0.000 1
V1 V 0.500 0.500 0.500 1
P1 P 0.500 0.500 0.000 1
O1 O 0.000 0.500 0.500 1

---

# RbVPO2 | Alexandria via LeMat-Bulk | GGA+U | relaxed
# Uncorrected energy   -16.85 eV per cell
# Relative energy among the computed polymorphs   1991 meV per atom
# Fermi-level density of states   3.8 states/eV/f.u.
data_RbVPO2
_space_group_name_H-M_alt 'P 4/m m m'
_space_group_IT_number 123
_space_group_name_Hall '-P 4 2'
_cell_length_a 4.149
_cell_length_b 4.149
_cell_length_c 6.397
_cell_angle_alpha 90.00
_cell_angle_beta 90.00
_cell_angle_gamma 90.00
loop_
_atom_site_label
_atom_site_type_symbol
_atom_site_fract_x
_atom_site_fract_y
_atom_site_fract_z
_atom_site_occupancy
Rb1 Rb 0.000 0.000 0.000 1
V1 V 0.500 0.500 0.500 1
P1 P 0.000 0.000 0.500 1
O1 O 0.000 0.500 0.000 1

---

# RbVP2O8 | Alexandria via LeMat-Bulk | GGA+U | relaxed
# Uncorrected energy   -251.09 eV per cell
data_RbVP2O8
_space_group_name_H-M_alt 'P -1'
_space_group_IT_number 2
_space_group_name_Hall '-P 1'
_cell_length_a 7.640
_cell_length_b 8.772
_cell_length_c 9.438
_cell_angle_alpha 64.45
_cell_angle_beta 67.44
_cell_angle_gamma 66.83
loop_
_atom_site_label
_atom_site_type_symbol
_atom_site_fract_x
_atom_site_fract_y
_atom_site_fract_z
_atom_site_occupancy
Rb1 Rb 0.000 0.000 0.000 1
Rb2 Rb 0.156 0.159 0.527 1
V1 V 0.301 0.289 0.063 1
V2 V 0.500 0.500 0.500 1
P1 P 0.067 0.435 0.780 1
P2 P 0.402 0.666 0.778 1
P3 P 0.454 0.879 0.229 1
O1 O 0.032 0.655 0.257 1
O2 O 0.069 0.379 0.210 1
O3 O 0.128 0.326 0.944 1
O4 O 0.228 0.817 0.739 1
O5 O 0.258 0.477 0.642 1
O6 O 0.278 0.054 0.205 1
O7 O 0.341 0.511 0.931 1
O8 O 0.366 0.736 0.384 1
O9 O 0.371 0.096 0.760 1
O10 O 0.455 0.275 0.184 1
O11 O 0.463 0.408 0.364 1
O12 O 0.491 0.817 0.082 1

---

# Rb6V6P6O31 | Alexandria via LeMat-Bulk | GGA+U | relaxed
# Uncorrected energy   -686.52 eV per cell
data_Rb6V6P6O31
_space_group_name_H-M_alt 'P m n 21'
_space_group_IT_number 31
_space_group_name_Hall 'P 2ac -2'
_cell_length_a 13.780
_cell_length_b 7.139
_cell_length_c 14.738
_cell_angle_alpha 90.00
_cell_angle_beta 90.00
_cell_angle_gamma 90.00
loop_
_atom_site_label
_atom_site_type_symbol
_atom_site_fract_x
_atom_site_fract_y
_atom_site_fract_z
_atom_site_occupancy
Rb1 Rb 0.000 0.150 0.000 1
Rb2 Rb 0.000 0.658 0.515 1
Rb3 Rb 0.239 0.152 0.168 1
Rb4 Rb 0.247 0.660 0.345 1
V1 V 0.000 0.023 0.749 1
V2 V 0.000 0.522 0.763 1
V3 V 0.125 0.107 0.428 1
V4 V 0.126 0.600 0.081 1
P1 P 0.000 0.512 0.266 1
P2 P 0.000 0.928 0.265 1
P3 P 0.149 0.295 0.624 1
P4 P 0.150 0.793 0.887 1
O1 O 0.000 0.059 0.457 1
O2 O 0.000 0.293 0.800 1
O3 O 0.000 0.383 0.346 1
O4 O 0.000 0.559 0.053 1
O5 O 0.000 0.721 0.313 1
O6 O 0.000 0.794 0.712 1
O7 O 0.000 0.907 0.163 1
O8 O 0.094 0.506 0.208 1
O9 O 0.095 0.019 0.301 1
O10 O 0.102 0.615 0.847 1
O11 O 0.104 0.117 0.665 1
O12 O 0.107 0.475 0.668 1
O13 O 0.107 0.974 0.844 1
O14 O 0.133 0.308 0.520 1
O15 O 0.135 0.804 0.991 1
O16 O 0.177 0.416 0.034 1
O17 O 0.178 0.925 0.475 1
O18 O 0.240 0.223 0.365 1
O19 O 0.240 0.718 0.145 1